[1]
Below is NdDy4Hg after structural relaxation, with properties calculated at the PBE level.

Cell lengths 6.364, 8.994, 8.256 Å; angles 113.32, 100.09, 112.70 degrees
Fractional positions:
1 Dy 0.232 0.603 0.767
2 Dy 0.365 0.912 0.625
3 Dy 0.964 0.835 0.233
4 Dy 0.239 0.287 0.375
5 Dy 0.635 0.088 0.375
6 Dy 0.768 0.397 0.233
7 Dy 0.761 0.713 0.625
8 Dy 0.036 0.165 0.767
9 Nd 0.347 0.597 0.193
10 Nd 0.653 0.403 0.807
11 Hg 0.749 0.999 0.999
12 Hg 0.251 0.001 0.001

## Properties
uncorrected energy = -0.14569 Ha/atom
SG = C2/c (15)
total magnetic moment = 0.0 μB/f.u.

[2]
Below is Nd6DyHg5 after structural relaxation, with properties calculated at the PBE level.

Cell lengths 5.373, 7.864, 9.490 Å; angles 114.48, 106.45, 90.00 degrees
Fractional positions:
1 Dy 0.000 0.000 0.000
2 Nd 0.500 0.728 0.000
3 Nd 0.828 0.083 0.656
4 Nd 0.828 0.572 0.656
5 Nd 0.172 0.917 0.344
6 Nd 0.500 0.272 0.000
7 Nd 0.172 0.428 0.344
8 Hg 0.000 0.500 0.000
9 Hg 0.352 0.852 0.703
10 Hg 0.330 0.330 0.660
11 Hg 0.648 0.148 0.297
12 Hg 0.670 0.670 0.340

## Properties
uncorrected energy = -0.11913 Ha/atom
SG = Immm (71)
total magnetic moment = 0.0 μB/f.u.

E_form values (in eV per atom) by entry order: -0.05, -0.35.